[1]
# GGA-PBE Sb2WCl, optimized geometry
# Symmetry: Amm2
# Formation energy without anion corrections (eV per atom): 0.29
data_Sb2WCl
_space_group_name_H-M_alt 'P 1'
_space_group_IT_number 1
_cell_length_a 3.489
_cell_length_b 5.819
_cell_length_c 5.822
_cell_angle_alpha 55.17
_cell_angle_beta 90.00
_cell_angle_gamma 90.00
loop_
_space_group_symop_operation_xyz
'x,y,z'
loop_
_atom_site_label
_atom_site_fract_x
_atom_site_fract_y
_atom_site_fract_z
_atom_site_occupancy
W1 0.000 0.501 0.501 1
Cl1 0.500 0.681 0.681 1
Sb1 0.000 0.014 0.014 1
Sb2 0.500 0.304 0.303 1



[2]
# GGA-PBE CsSiSbI2, optimized geometry
# Symmetry: P4/mmm
# Formation energy without anion corrections (eV per atom): -0.21
data_CsSiSbI2
_space_group_name_H-M_alt 'P 1'
_space_group_IT_number 1
_cell_length_a 5.993
_cell_length_b 5.993
_cell_length_c 5.542
_cell_angle_alpha 90.00
_cell_angle_beta 90.00
_cell_angle_gamma 90.00
loop_
_space_group_symop_operation_xyz
'x,y,z'
loop_
_atom_site_label
_atom_site_fract_x
_atom_site_fract_y
_atom_site_fract_z
_atom_site_occupancy
Sb1 0.000 0.000 0.500 1
I1 0.000 0.500 0.000 1
I2 0.500 0.000 0.000 1
Si1 0.000 0.000 0.000 1
Cs1 0.500 0.500 0.500 1



[3]
# GGA-PBE La3InPd, optimized geometry
# Symmetry: P6_3/mmc
data_La3InPd
_space_group_name_H-M_alt 'P 1'
_space_group_IT_number 1
_cell_length_a 5.721
_cell_length_b 7.852
_cell_length_c 7.852
_cell_angle_alpha 119.99
_cell_angle_beta 90.00
_cell_angle_gamma 90.00
loop_
_space_group_symop_operation_xyz
'x,y,z'
loop_
_atom_site_label
_atom_site_fract_x
_atom_site_fract_y
_atom_site_fract_z
_atom_site_occupancy
In1 0.750 0.667 0.333 1
In2 0.250 0.333 0.667 1
La1 0.750 0.190 0.810 1
La2 0.250 0.810 0.619 1
La3 0.250 0.810 0.190 1
La4 0.250 0.381 0.190 1
La5 0.750 0.619 0.810 1
La6 0.750 0.190 0.381 1
Pd1 0.500 0.000 0.000 1
Pd2 0.000 0.000 0.000 1



[4]
# GGA-PBE CsAlHg2, optimized geometry
# Symmetry: I-42d
data_CsAlHg2
_space_group_name_H-M_alt 'P 1'
_space_group_IT_number 1
_cell_length_a 6.542
_cell_length_b 6.542
_cell_length_c 9.293
_cell_angle_alpha 69.39
_cell_angle_beta 69.39
_cell_angle_gamma 90.00
loop_
_space_group_symop_operation_xyz
'x,y,z'
loop_
_atom_site_label
_atom_site_fract_x
_atom_site_fract_y
_atom_site_fract_z
_atom_site_occupancy
Hg1 0.875 0.679 0.750 1
Hg2 0.321 0.625 0.250 1
Hg3 0.375 0.571 0.750 1
Hg4 0.429 0.125 0.250 1
Al1 0.250 0.750 0.500 1
Al2 0.500 0.500 0.000 1
Cs1 0.750 0.250 0.500 1
Cs2 0.000 0.000 0.000 1



[5]
# GGA-PBE ZrFe2P, optimized geometry
# Symmetry: C2/m
data_ZrFe2P
_space_group_name_H-M_alt 'P 1'
_space_group_IT_number 1
_cell_length_a 4.520
_cell_length_b 4.520
_cell_length_c 4.370
_cell_angle_alpha 74.05
_cell_angle_beta 74.05
_cell_angle_gamma 41.37
loop_
_space_group_symop_operation_xyz
'x,y,z'
loop_
_atom_site_label
_atom_site_fract_x
_atom_site_fract_y
_atom_site_fract_z
_atom_site_occupancy
P1 0.250 0.250 0.250 1
Fe1 0.977 0.977 0.054 1
Fe2 0.523 0.523 0.446 1
Zr1 0.750 0.750 0.750 1



[6]
# GGA-PBE K2BiHCl6, optimized geometry
# Symmetry: P1
data_K2BiHCl6
_space_group_name_H-M_alt 'P 1'
_space_group_IT_number 1
_cell_length_a 8.235
_cell_length_b 8.224
_cell_length_c 8.492
_cell_angle_alpha 122.10
_cell_angle_beta 124.06
_cell_angle_gamma 97.07
loop_
_space_group_symop_operation_xyz
'x,y,z'
loop_
_atom_site_label
_atom_site_fract_x
_atom_site_fract_y
_atom_site_fract_z
_atom_site_occupancy
K1 0.224 0.856 0.489 1
K2 0.760 0.181 0.502 1
Cl1 0.452 0.239 0.108 1
Cl2 0.167 0.771 0.037 1
Cl3 0.561 0.689 0.702 1
Cl4 0.813 0.789 0.486 1
Cl5 0.821 0.278 0.953 1
Cl6 0.110 0.200 0.448 1
H1 0.608 0.482 0.273 1
Bi1 0.983 0.020 0.000 1



[7]
# GGA-PBE CeScCu2Si2, optimized geometry
# Symmetry: P-3m1
# Formation energy without anion corrections (eV per atom): -0.61
data_CeScCu2Si2
_space_group_name_H-M_alt 'P 1'
_space_group_IT_number 1
_cell_length_a 4.140
_cell_length_b 4.140
_cell_length_c 7.171
_cell_angle_alpha 90.00
_cell_angle_beta 90.00
_cell_angle_gamma 120.00
loop_
_space_group_symop_operation_xyz
'x,y,z'
loop_
_atom_site_label
_atom_site_fract_x
_atom_site_fract_y
_atom_site_fract_z
_atom_site_occupancy
Si1 0.667 0.333 0.728 1
Si2 0.333 0.667 0.272 1
Ce1 0.000 0.000 0.000 1
Cu1 0.333 0.667 0.701 1
Cu2 0.667 0.333 0.299 1
Sc1 0.000 0.000 0.500 1



[8]
# GGA-PBE Nd12MgRu7, optimized geometry
# Symmetry: R-3
data_Nd12MgRu7
_space_group_name_H-M_alt 'P 1'
_space_group_IT_number 1
_cell_length_a 9.078
_cell_length_b 9.078
_cell_length_c 9.078
_cell_angle_alpha 110.31
_cell_angle_beta 110.31
_cell_angle_gamma 110.31
loop_
_space_group_symop_operation_xyz
'x,y,z'
loop_
_atom_site_label
_atom_site_fract_x
_atom_site_fract_y
_atom_site_fract_z
_atom_site_occupancy
Nd1 0.110 0.313 0.396 1
Nd2 0.262 0.114 0.656 1
Nd3 0.656 0.262 0.114 1
Nd4 0.738 0.886 0.344 1
Nd5 0.396 0.110 0.313 1
Nd6 0.687 0.604 0.890 1
Nd7 0.344 0.738 0.886 1
Nd8 0.114 0.656 0.262 1
Nd9 0.886 0.344 0.738 1
Nd10 0.313 0.396 0.110 1
Nd11 0.604 0.890 0.687 1
Nd12 0.890 0.687 0.604 1
Ru1 0.966 0.072 0.724 1
Ru2 0.928 0.276 0.034 1
Ru3 0.500 0.500 0.500 1
Ru4 0.072 0.724 0.966 1
Ru5 0.276 0.034 0.928 1
Ru6 0.034 0.928 0.276 1
Ru7 0.724 0.966 0.072 1
Mg1 0.000 0.000 0.000 1



no.,energy (eV per atom),calculated volume (Å³ per cell)
1,-5.48,97
2,-2.91,199
3,-5.00,306
4,-1.34,345
5,-8.02,56
6,-3.36,323
7,-5.83,106
8,-6.31,557